Density functional theory data (PBE) for Li2Zr3Ga4 after structural relaxation.

Cell lengths 5.411, 5.411, 8.167 Å; angles 113.42, 113.42, 46.90 degrees
Sites, in units of the cell vectors:
Li 0.120 0.120 0.289
Li 0.880 0.880 0.711
Zr 0.163 0.163 0.669
Zr 0.500 0.500 0.000
Zr 0.837 0.837 0.331
Ga 0.214 0.214 0.058
Ga 0.435 0.435 0.607
Ga 0.565 0.565 0.393
Ga 0.786 0.786 0.942

Computed properties:
- M_tot: 0.00 μB/f.u.
- Symmetry: C2/m
- Calculated density: 5.98 g cm⁻³
- Fermi-level density of states: 0.584 states/eV per atom
- Energy of formation from the pure elements: -0.427 eV/atom